# PuW2O8 PBE+U relaxed
# Total DFT energy (no corrections) = -8.390 eV/atom
# D(E_F) = 2.1 states/eV/f.u.
data_PuW2O8
_chemical_formula_sum 'Pu1 W2 O8'
_cell_length_a 6.1538
_cell_length_b 6.1538
_cell_length_c 6.5458
_cell_angle_alpha 90.00
_cell_angle_beta 90.00
_cell_angle_gamma 120.00
_space_group_name_H-M_alt 'P -3 m 1'
_space_group_IT_number 164
_space_group_name_Hall '-P 3 2"'
loop_
_atom_site_label
_atom_site_type_symbol
_atom_site_fract_x
_atom_site_fract_y
_atom_site_fract_z
_atom_site_occupancy
Pu1 Pu 0.0000 0.0000 0.0000 1
W1 W 0.3333 0.6667 0.2853 1
O1 O 0.1710 0.3421 0.1909 1
O2 O 0.3333 0.6667 0.5537 1